No. 1
# Li6Nb3V3O16 | Alexandria via LeMat-Bulk | PBE+U | relaxed
# Total magnetization in μB per formula unit: 4.0
# E in eV/atom: -7.34
data_Li6Nb3V3O16
_cell_length_a 10.507
_cell_length_b 6.113
_cell_length_c 10.078
_cell_angle_alpha 90.00
_cell_angle_beta 90.57
_cell_angle_gamma 90.00
_space_group_name_H-M_alt 'C 1 m 1'
_space_group_IT_number 8
loop_
_space_group_symop_operation_xyz
'x,y,z'
'x,-y,z'
'x+1/2,y+1/2,z'
'x+1/2,-y+1/2,z'
loop_
_atom_site_label
_atom_site_type_symbol
_atom_site_fract_x
_atom_site_fract_y
_atom_site_fract_z
Li1 Li 0.000 0.000 0.000
Li2 Li 0.006 0.000 0.495
Li3 Li 0.140 0.500 0.510
Li4 Li 0.165 0.500 0.892
Li5 Li 0.314 0.000 0.016
Li6 Li 0.334 0.000 0.383
Nb1 Nb 0.315 0.500 0.231
Nb2 Nb 0.407 0.248 0.713
V1 V 0.067 0.252 0.206
V2 V 0.162 0.000 0.714
O1 O 0.014 0.500 0.316
O2 O 0.070 0.229 0.608
O3 O 0.147 0.000 0.116
O4 O 0.162 0.500 0.105
O5 O 0.237 0.266 0.320
O6 O 0.255 0.234 0.823
O7 O 0.333 0.000 0.598
O8 O 0.340 0.500 0.601
O9 O 0.423 0.266 0.107
O10 O 0.484 0.000 0.818
O11 O 0.489 0.500 0.819
O12 O 0.493 0.500 0.314

---

No. 2
# Li4Nb5V3O16 | Alexandria via LeMat-Bulk | PBE+U | relaxed
# Total magnetization in μB per formula unit: 8.0
# E in eV/atom: -7.95
data_Li4Nb5V3O16
_cell_length_a 10.555
_cell_length_b 6.043
_cell_length_c 10.058
_cell_angle_alpha 90.00
_cell_angle_beta 90.23
_cell_angle_gamma 90.00
_space_group_name_H-M_alt 'C 1 m 1'
_space_group_IT_number 8
loop_
_space_group_symop_operation_xyz
'x,y,z'
'x,-y,z'
'x+1/2,y+1/2,z'
'x+1/2,-y+1/2,z'
loop_
_atom_site_label
_atom_site_type_symbol
_atom_site_fract_x
_atom_site_fract_y
_atom_site_fract_z
Li1 Li 0.000 0.000 0.000
Li2 Li 0.001 0.000 0.503
Li3 Li 0.162 0.500 0.098
Li4 Li 0.328 0.000 0.585
Nb1 Nb 0.090 0.281 0.776
Nb2 Nb 0.170 0.500 0.492
Nb3 Nb 0.177 0.000 0.266
Nb4 Nb 0.344 0.000 0.995
V1 V 0.325 0.500 0.776
V2 V 0.412 0.245 0.280
O1 O 0.005 0.000 0.183
O2 O 0.010 0.500 0.633
O3 O 0.089 0.250 0.393
O4 O 0.171 0.000 0.899
O5 O 0.176 0.500 0.911
O6 O 0.234 0.276 0.644
O7 O 0.253 0.222 0.145
O8 O 0.321 0.000 0.393
O9 O 0.330 0.500 0.404
O10 O 0.417 0.250 0.898
O11 O 0.472 0.000 0.138
O12 O 0.498 0.500 0.687